A relaxed SmTmCo crystal, computed with PBE.

## Properties
The polymorph energy (0 for the lowest one) is 19.6 meV/atom. The electronic total energy is -33.376 eV per cell. Its energy relative to the elements is -38 kJ/mol of formula units.

Unit cell a=3.8014 b=5.6147 c=7.1754 alpha=96.36 beta=90.00 gamma=90.00
Element x y z (fractional)
1 Sm 0.7500 0.8120 0.6723
2 Sm 0.2500 0.1880 0.3277
3 Co 0.2500 0.8643 0.9550
4 Co 0.7500 0.1357 0.0450
5 Tm 0.2500 0.3404 0.8420
6 Tm 0.7500 0.6596 0.1580